(1)
Material: Mg7Tl2Zn2
Method: DFT, GGA-PBE
State: relaxed

As for the magnetization: 0.0 μB/f.u. Its final energy is -1.697 eV per atom. As for the crystal system: monoclinic. As for the energy of formation: -0.22 eV per formula unit. The value obtained for the density of states at the Fermi level is 0.353 states/eV per atom.

abc: 7.0334 8.7376 8.1187
angles: 90.00 101.62 90.00
Space group C2/m (No. 12)
Inequivalent atoms, fractional coordinates:
Mg (0.0000, 0.0000, 0.0000) x2
Mg (0.1355, 0.0000, 0.3753) x4
Mg (0.2205, 0.3082, 0.1805) x8
Tl (0.0000, 0.3089, 0.5000) x4
Zn (0.1131, 0.5000, 0.8795) x4

***

(2)
Material: Th3Al11
Method: DFT, GGA-PBE
State: relaxed

As for the magnetization: 0.0 μB/f.u. Its final energy is -4.859 eV per atom. As for the crystal system: orthorhombic. As for the energy of formation: -4.60 eV per formula unit. The value obtained for the density of states at the Fermi level is 0.535 states/eV per atom.

abc: 4.4051 10.0129 12.9557
angles: 90.00 90.00 90.00
Space group Immm (No. 71)
Inequivalent atoms, fractional coordinates:
Th (0.0000, 0.0000, 0.0000) x2
Th (0.0000, 0.0000, 0.3140) x4
Al (0.0000, 0.2092, 0.5000) x4
Al (0.0000, 0.2745, 0.1344) x8
Al (0.0000, 0.3676, 0.3351) x8
Al (0.0000, 0.5000, 0.0000) x2

***

(3)
Material: PtBr3
Method: DFT, GGA-PBE
State: relaxed

As for the magnetization: 0.0 μB/f.u. The uncorrected formation energy comes out at 0.109 eV/atom. Its final energy is -2.655 eV per atom. As for the crystal system: tetragonal. The value obtained for the density of states at the Fermi level is 0.800 states/eV per atom.

abc: 9.2878 9.2878 5.3440
angles: 90.00 90.00 90.00
Space group I-42d (No. 122)
Inequivalent atoms, fractional coordinates:
Pt (0.0000, 0.0000, 0.0000) x4
Br (0.0000, 0.0000, 0.5000) x4
Br (0.1003, 0.2500, 0.1250) x8

***

(4)
Material: TlCuPCl2
Method: DFT, GGA-PBE
State: relaxed

As for the magnetization: 1.4 μB/f.u. The uncorrected formation energy comes out at 0.619 eV/atom. Its final energy is -2.494 eV per atom. As for the crystal system: tetragonal. The value obtained for the density of states at the Fermi level is 0.454 states/eV per atom.

abc: 5.3989 5.3989 5.2757
angles: 90.00 90.00 90.00
Space group P4/mmm (No. 123)
Inequivalent atoms, fractional coordinates:
Tl (0.0000, 0.0000, 0.0000) x1
Cu (0.5000, 0.5000, 0.5000) x1
P (0.0000, 0.0000, 0.5000) x1
Cl (0.0000, 0.5000, 0.0000) x2

***

(5)
Material: ZrPt2Rh
Method: DFT, GGA-PBE
State: relaxed

As for the magnetization: 1.4 μB/f.u. Its final energy is -7.245 eV per atom. As for the crystal system: trigonal. As for the energy of formation: -1.00 eV per formula unit. The value obtained for the density of states at the Fermi level is 0.883 states/eV per atom.

abc: 2.8669 2.8669 28.0487
angles: 90.00 90.00 120.00
Space group R-3m (No. 166, hexagonal axes)
Inequivalent atoms, fractional coordinates:
Zr (0.0000, 0.0000, 0.0000) x3
Pt (0.0000, 0.0000, 0.2483) x6
Rh (0.0000, 0.0000, 0.5000) x3

***

(6)
Material: NpFeCo17
Method: DFT, GGA-PBE
State: relaxed

As for the magnetization: 18.7 μB/f.u. Its final energy is -7.345 eV per atom. As for the crystal system: trigonal. As for the energy of formation: 2.64 eV per formula unit. The value obtained for the density of states at the Fermi level is 1.436 states/eV per atom.

abc: 8.1391 8.1391 12.0307
angles: 90.00 90.00 120.00
Space group R3m (No. 160, hexagonal axes)
Inequivalent atoms, fractional coordinates:
Np (0.0000, 0.0000, 0.0000) x3
Fe (0.0000, 0.0000, 0.3235) x3
Co (0.0000, 0.0000, 0.5527) x3
Co (0.0000, 0.0000, 0.7481) x3
Co (0.0002, 0.2973, 0.6515) x18
Co (0.1676, 0.3353, 0.4846) x9
Co (0.1688, 0.3376, 0.1355) x9
Co (0.1698, 0.3396, 0.8355) x9

***

(7)
Material: Sc2SiNi
Method: DFT, GGA-PBE
State: relaxed

As for the magnetization: 0.0 μB/f.u. The uncorrected formation energy comes out at -0.271 eV/atom. Its final energy is -6.238 eV per atom. As for the crystal system: monoclinic. The value obtained for the density of states at the Fermi level is 0.658 states/eV per atom.

abc: 7.1139 3.1234 6.7729
angles: 90.00 100.63 90.00
Space group C2/m (No. 12)
Inequivalent atoms, fractional coordinates:
Sc (0.2491, 0.0000, 0.2601) x4
Si (0.0000, 0.5000, 0.0000) x2
Ni (0.0000, 0.0000, 0.5000) x2

***

(8)
Material: NaCrBr2
Method: DFT, GGA-PBE
State: relaxed

As for the magnetization: 5.0 μB/f.u. The uncorrected formation energy comes out at -0.496 eV/atom. Its final energy is -4.068 eV per atom. As for the crystal system: cubic. The value obtained for the density of states at the Fermi level is 0.551 states/eV per atom.

abc: 7.2394 7.2394 7.2394
angles: 90.00 90.00 90.00
Space group Fm-3m (No. 225)
Inequivalent atoms, fractional coordinates:
Na (0.0000, 0.0000, 0.0000) x4
Cr (0.0000, 0.0000, 0.5000) x4
Br (0.2500, 0.2500, 0.2500) x8

***

(9)
Material: AlReSbTe2
Method: DFT, GGA-PBE
State: relaxed

As for the magnetization: 3.2 μB/f.u. The uncorrected formation energy comes out at 1.383 eV/atom. Its final energy is -3.936 eV per atom. As for the crystal system: tetragonal. The value obtained for the density of states at the Fermi level is 0.848 states/eV per atom.

abc: 5.2377 5.2377 5.1670
angles: 90.00 90.00 90.00
Space group P4/mmm (No. 123)
Inequivalent atoms, fractional coordinates:
Al (0.0000, 0.0000, 0.0000) x1
Re (0.5000, 0.5000, 0.5000) x1
Sb (0.0000, 0.0000, 0.5000) x1
Te (0.0000, 0.5000, 0.0000) x2

***

(10)
Material: KAcOF2
Method: DFT, GGA-PBE
State: relaxed

As for the magnetization: 0.0 μB/f.u. The uncorrected formation energy comes out at -3.134 eV/atom. Its final energy is -5.915 eV per atom. As for the crystal system: tetragonal.

abc: 4.9613 4.9613 4.7416
angles: 90.00 90.00 90.00
Space group P4mm (No. 99)
Inequivalent atoms, fractional coordinates:
K (0.0000, 0.0000, 0.0000) x1
Ac (0.5000, 0.5000, 0.4531) x1
O (0.5000, 0.5000, 0.9506) x1
F (0.0000, 0.5000, 0.4272) x2

***

(11)
Material: PmNdCo2
Method: DFT, GGA-PBE
State: relaxed

As for the magnetization: 0.9 μB/f.u. Its final energy is -6.003 eV per atom. As for the crystal system: orthorhombic. As for the energy of formation: -0.28 eV per formula unit. The value obtained for the density of states at the Fermi level is 1.234 states/eV per atom.

abc: 3.9593 5.6532 7.8688
angles: 90.00 90.00 90.00
Space group Pmc2_1 (No. 26)
Inequivalent atoms, fractional coordinates:
Pm (0.0000, 0.1410, 0.0000) x2
Nd (0.5000, 0.3587, 0.6451) x2
Co (0.0000, 0.3332, 0.3492) x2
Co (0.5000, 0.1606, 0.2943) x2

***

(12)
Material: YThHg2
Method: DFT, GGA-PBE
State: relaxed

As for the magnetization: 0.9 μB/f.u. Its final energy is -3.949 eV per atom. As for the crystal system: cubic. As for the energy of formation: -1.31 eV per formula unit. The value obtained for the density of states at the Fermi level is 1.017 states/eV per atom.

abc: 7.5802 7.5802 7.5802
angles: 90.00 90.00 90.00
Space group Fm-3m (No. 225)
Inequivalent atoms, fractional coordinates:
Y (0.0000, 0.0000, 0.0000) x4
Th (0.0000, 0.0000, 0.5000) x4
Hg (0.2500, 0.2500, 0.2500) x8